Ca2FeHg (PBE-GGA, relaxed); total DFT energy (no corrections) = -11.7 eV for the cell shown; volume = 93.7 Å³/f.u.; total magnetization = 3.1 μB per cell
1.0
0.000 3.605 3.605
3.605 0.000 3.605
3.605 3.605 0.000
Ca Fe Hg
2 1 1
Cartesian
0.000 0.000 0.000
1.802 1.802 1.802
5.407 5.407 5.407
3.605 3.605 3.605